Entry 1:
DyHfTiIr2: optimized geometry, PBE-GGA.

Unit cell a=4.340 b=4.340 c=6.280 alpha=110.22 beta=110.22 gamma=90.00
Fractional coordinates of all 5 atoms:
Dy  0.000  0.000  0.000
Hf  0.250  0.750  0.500
Ti  0.750  0.250  0.500
Ir  0.617  0.617  0.234
Ir  0.383  0.383  0.766

Calculated values
Crystal system: tetragonal
E_form: -801 meV per atom

Entry 2:
DyHfZnIr: optimized geometry, PBE-GGA.

Unit cell a=4.791 b=4.791 c=4.791 alpha=60.00 beta=60.00 gamma=60.00
Fractional coordinates of all 4 atoms:
Zn  0.500  0.500  0.500
Ir  0.000  0.000  0.000
Hf  0.250  0.250  0.250
Dy  0.750  0.750  0.750

Calculated values
Crystal system: cubic
E_form: -511 meV per atom